[1]
First-principles (PBE-GGA) data for a relaxed Li5Ca2Hg crystal, as listed in Alexandria. Values from VASP.

Structure (Quantum ESPRESSO input):
```
&SYSTEM
  ibrav = 0, nat = 8, ntyp = 3
/
ATOMIC_SPECIES
Li 6.94 Li.upf
Ca 40.08 Ca.upf
Hg 200.59 Hg.upf
ATOMIC_POSITIONS angstrom
Li 2.5940 2.5940 0.0000
Li 2.5940 0.0000 5.7428
Li 0.0000 2.5940 5.7428
Li 0.0000 2.5940 1.3580
Li 2.5940 0.0000 1.3580
Ca 2.5940 2.5940 3.7093
Ca 0.0000 0.0000 3.3914
Hg 0.0000 0.0000 0.0000
CELL_PARAMETERS angstrom
5.1880 0.0000 0.0000
0.0000 5.1880 0.0000
-2.5940 -2.5940 7.1008
```

Summary:
As for the calculated density: 2.7 g/cm3. For the energy relative to the lowest polymorph listed for this composition, the calculation gives 0.0000 eV/atom. Its volume is 23.89 Å³/atom. For the formation energy, the calculation gives -111 meV per atom.

---

[2]
First-principles (PBE-GGA) data for a relaxed TaNbH crystal, as listed in Alexandria. Values from VASP.

Structure (Quantum ESPRESSO input):
```
&SYSTEM
  ibrav = 0, nat = 6, ntyp = 3
/
ATOMIC_SPECIES
Ta 180.95 Ta.upf
Nb 92.91 Nb.upf
H 1.01 H.upf
ATOMIC_POSITIONS angstrom
Ta 3.0695 -1.4237 2.4052
Ta -0.0373 3.4145 1.8929
Nb 1.6014 1.5261 3.4970
Nb 1.4308 0.4647 0.8011
H 3.2751 0.2291 1.3677
H -0.2429 1.7617 2.9304
CELL_PARAMETERS angstrom
-1.0605 -1.5647 2.8016
4.3652 -1.9766 0.5485
-0.2726 5.5321 0.9480
```

Summary:
As for the calculated density: 11.7 g/cm3. For the energy relative to the lowest polymorph listed for this composition, the calculation gives 0.0225 eV/atom. Its volume is 13.01 Å³/atom.

---

[3]
First-principles (PBE-GGA) data for a relaxed Y3AuS crystal, as listed in Alexandria. Values from VASP.

Structure (Quantum ESPRESSO input):
```
&SYSTEM
  ibrav = 0, nat = 20, ntyp = 3
/
ATOMIC_SPECIES
Y 88.91 Y.upf
Au 196.97 Au.upf
S 32.06 S.upf
ATOMIC_POSITIONS angstrom
Y 2.8811 1.6084 4.2756
Y 0.9604 5.8761 14.0788
Y 0.9604 0.1004 1.6056
Y 0.9604 4.5533 5.7882
Y 0.9604 1.4232 8.1024
Y 2.8811 4.3525 8.9993
Y 0.9604 2.8445 11.6693
Y 2.8811 8.8055 13.1819
Y 2.8811 3.0298 0.7087
Y 2.8811 6.0613 3.1181
Y 2.8811 7.4827 6.6851
Y 0.9604 7.2975 10.5119
Au 0.9604 8.0839 4.5152
Au 2.8811 0.8220 10.2723
Au 2.8811 5.2749 11.9089
Au 0.9604 3.6309 2.8786
S 0.9604 6.0652 8.0727
S 2.8811 2.8407 6.7147
S 2.8811 7.2936 0.6790
S 0.9604 1.6123 14.1085
CELL_PARAMETERS angstrom
3.8414 0.0000 0.0000
0.0000 8.9058 0.0000
0.0000 0.0000 14.7875
```

Summary:
As for the calculated density: 6.5 g/cm3. For the energy relative to the lowest polymorph listed for this composition, the calculation gives 0.0000 eV/atom. Its volume is 25.29 Å³/atom. The raw formation energy is -1173.9 meV per atom.

---

Which of these has the lowest calculated density? Li5Ca2Hg